Density functional theory data (PBE) for Ba2Li4CdHg3 after structural relaxation.

Lattice parameters (Å, degrees): 5.055 5.055 10.602 90.00 90.00 90.00
Space group P-4m2 (No. 115)
Symmetry-distinct sites (fractional):
Ba 0.000 0.500 0.249 x2
Li 0.000 0.000 0.500 x1
Li 0.000 0.500 0.883 x2
Li 0.500 0.500 0.500 x1
Cd 0.500 0.500 0.000 x1
Hg 0.000 0.000 0.000 x1
Hg 0.000 0.500 0.620 x2

## Properties
**Energy of formation**: -0.33 eV/atom
**Crystal system**: tetragonal
**VASP energy**: -16.63 eV per formula unit